Entry 1:
Below is a relaxed LaCd2Co crystal, with properties calculated at the PBE-GGA level.

Properties
volume: 93 Å³/f.u.
symmetry: I-42d (122)
Fermi-level density of states: 0.526 states/eV/atom
total magnetization: 0.000 μB/f.u.
DFT formation energy: 0.169 eV per atom
crystal system: tetragonal

Geometry as POSCAR:
```
LaCd2Co
1.0
4.038 0.000 0.000
0.000 4.038 0.000
2.019 2.019 11.384
Cd Co La
4 2 2
direct
0.875 0.856 0.750 Cd
0.375 0.394 0.750 Cd
0.144 0.625 0.250 Cd
0.606 0.125 0.250 Cd
0.250 0.750 0.500 Co
0.500 0.500 0.000 Co
0.750 0.250 0.500 La
0.000 0.000 0.000 La
```


Entry 2:
Below is a relaxed TbNd4Te7 crystal, with properties calculated at the PBE-GGA level.

Properties
energy relative to the elements, uncorrected: -1.43 eV/atom
volume: 415 Å³/f.u.
symmetry: Cm (8)
Fermi-level density of states: 0.181 states/eV/atom
total magnetization: 0.000 μB/f.u.
crystal system: monoclinic

Geometry as POSCAR:
```
TbNd4Te7
1.0
4.349 0.000 0.000
-2.175 7.091 -1.873
0.000 0.064 13.446
Te Nd Tb
7 4 1
direct
0.963 0.926 0.216 Te
0.496 0.993 0.502 Te
0.662 0.323 0.048 Te
0.036 0.072 0.779 Te
0.338 0.675 0.951 Te
0.744 0.488 0.353 Te
0.263 0.527 0.650 Te
0.000 0.999 0.998 Nd
0.114 0.228 0.426 Nd
0.700 0.400 0.809 Nd
0.300 0.600 0.191 Nd
0.885 0.770 0.576 Tb
```